Record 1
Computed, not measured: Ca3InMo at its PBEsol-relaxed geometry at the meta-GGA SCAN level of DFT.

The space group is Pm-3m (No. 221) and the conventional cell measures 5.349, 5.349 and 5.349 Å, with angles of 90.00, 90.00 and 90.00 degrees. The distinct sites, in fractional coordinates, are Ca at (0.000, 0.000, 0.500), In at (0.500, 0.500, 0.500) and Mo at (0.000, 0.000, 0.000).

Its energy above the most stable polymorph in this dataset is 0.0 meV per atom. The crystal system is cubic.


Record 2
Computed, not measured: CaIn2Mo at its PBEsol-relaxed geometry at the meta-GGA SCAN level of DFT.

The space group is F-43m (No. 216) and the conventional cell measures 6.974, 6.974 and 6.974 Å, with angles of 90.00, 90.00 and 90.00 degrees. The distinct sites, in fractional coordinates, are Ca at (0.000, 0.000, 0.000), In at (0.000, 0.000, 0.500), In at (0.250, 0.250, 0.750) and Mo at (0.250, 0.250, 0.250).

Its energy above the most stable polymorph in this dataset is 446.6 meV per atom. The crystal system is cubic.


Record 3
Computed, not measured: Ca2InMo at its PBEsol-relaxed geometry at the meta-GGA SCAN level of DFT.

The space group is Imm2 (No. 44) and the conventional cell measures 3.941, 5.009 and 10.000 Å, with angles of 90.00, 90.00 and 90.00 degrees. The distinct sites, in fractional coordinates, are Ca at (0.000, 0.000, 0.000), Ca at (0.000, 0.500, 0.218), In at (0.000, 0.500, 0.761) and Mo at (0.000, 0.000, 0.454).

The crystal system is orthorhombic.


Record 4
Computed, not measured: CaIn2Mo at its PBEsol-relaxed geometry at the meta-GGA SCAN level of DFT.

The space group is P4/mmm (No. 123) and the conventional cell measures 3.062, 3.062 and 8.890 Å, with angles of 90.00, 90.00 and 90.00 degrees. The distinct sites, in fractional coordinates, are Ca at (0.000, 0.000, 0.000), In at (0.500, 0.500, 0.277) and Mo at (0.000, 0.000, 0.500).

Its energy above the most stable polymorph in this dataset is 0.0 meV per atom. The crystal system is tetragonal.


| no. | total energy (eV per atom) | total magnetization (μB per formula unit) |
| --- | --- | --- |
| 1 | -18.731 | 2.19 |
| 2 | -27.343 | 3.32 |
| 3 | -21.584 | 2.09 |
| 4 | -27.790 | 0.44 |